This record from the Alexandria database describes RbBaLi after structural relaxation. The functional is PBE.

## Properties
Its density of states at the Fermi level is 5.087 states/eV/cell. Its formation energy from the elements is 0.109 eV/atom. Its crystal system is triclinic. Its energy above the most stable polymorph in this dataset is 0.0502 eV/atom.

a b c (Å): 4.736 7.516 10.237
angles (deg): 77.94 76.81 89.96
Positions (direct):
1 Rb 0.556 0.506 0.596
2 Rb 0.134 0.056 0.430
3 Ba 0.299 0.647 0.122
4 Ba 0.861 0.178 0.991
5 Li 0.471 0.970 0.770
6 Li 0.941 0.724 0.832